#i
Material: PmAsPdO
Method: DFT, GGA-PBE
State: relaxed

Output
- V (Å³ per atom) = 20.550

Cell lengths 3.6335, 8.0021, 5.6541 Å; angles 90.00, 90.00, 90.00 degrees
Sites, in units of the cell vectors:
Pm  0.0000  0.2086  0.0000
Pm  0.0000  0.7914  0.5000
As  0.0000  0.4157  0.4999
As  0.0000  0.5843  0.9999
Pd  0.5000  0.2145  0.5016
Pd  0.5000  0.7855  0.0016
O  0.5000  0.0641  0.0017
O  0.5000  0.9359  0.5017


#ii
Material: PmAsPdO
Method: DFT, GGA-PBE
State: relaxed

Output
- V (Å³ per atom) = 17.669

Cell lengths 4.1806, 4.1806, 8.0879 Å; angles 90.00, 90.00, 90.00 degrees
Sites, in units of the cell vectors:
Pm  0.2500  0.2500  0.1345
Pm  0.7500  0.7500  0.8655
As  0.2500  0.2500  0.6694
As  0.7500  0.7500  0.3306
Pd  0.2500  0.7500  0.5000
Pd  0.7500  0.2500  0.5000
O  0.2500  0.7500  0.0000
O  0.7500  0.2500  0.0000


#iii
Material: PmAsPdO
Method: DFT, GGA-PBE
State: relaxed

Output
- V (Å³ per atom) = 18.888

Cell lengths 4.6027, 4.6027, 7.1327 Å; angles 90.00, 90.00, 90.00 degrees
Sites, in units of the cell vectors:
Pm  0.2500  0.7500  0.0000
Pm  0.7500  0.2500  0.0000
As  0.2500  0.2500  0.2340
As  0.7500  0.7500  0.7660
Pd  0.2500  0.2500  0.5707
Pd  0.7500  0.7500  0.4293
O  0.2500  0.7500  0.5000
O  0.7500  0.2500  0.5000


The structure with the least stability is #iii.


#i
Material: RbAsPdO
Method: DFT, GGA-PBE
State: relaxed

Output
- V (Å³ per atom) = 22.197

Cell lengths 3.6084, 8.1865, 6.0113 Å; angles 90.00, 90.00, 90.00 degrees
Sites, in units of the cell vectors:
Rb  0.0000  0.1201  0.0000
Rb  0.0000  0.8799  0.5000
As  0.0000  0.3495  0.4750
As  0.0000  0.6505  0.9750
Pd  0.5000  0.4970  0.7018
Pd  0.5000  0.5030  0.2018
O  0.5000  0.3328  0.9549
O  0.5000  0.6672  0.4549


#ii
Material: RbAsPdO
Method: DFT, GGA-PBE
State: relaxed

Output
- V (Å³ per atom) = 24.348

Cell lengths 4.2109, 4.2109, 10.9851 Å; angles 90.00, 90.00, 90.00 degrees
Sites, in units of the cell vectors:
Rb  0.2500  0.2500  0.1545
Rb  0.7500  0.7500  0.8455
As  0.2500  0.2500  0.6187
As  0.7500  0.7500  0.3813
Pd  0.2500  0.7500  0.5000
Pd  0.7500  0.2500  0.5000
O  0.2500  0.7500  0.0000
O  0.7500  0.2500  0.0000


#iii
Material: RbAsPdO
Method: DFT, GGA-PBE
State: relaxed

Output
- V (Å³ per atom) = 19.917

Cell lengths 4.5010, 4.5010, 7.8651 Å; angles 90.00, 90.00, 90.00 degrees
Sites, in units of the cell vectors:
Rb  0.2500  0.7500  0.0000
Rb  0.7500  0.2500  0.0000
As  0.2500  0.2500  0.4006
As  0.7500  0.7500  0.5994
Pd  0.2500  0.2500  0.7068
Pd  0.7500  0.7500  0.2932
O  0.2500  0.7500  0.5000
O  0.7500  0.2500  0.5000


The structure with the least stability is #iii.


#i
Material: ReAsPdO
Method: DFT, GGA-PBE
State: relaxed

Output
- V (Å³ per atom) = 16.591

Cell lengths 2.7684, 6.5229, 7.3500 Å; angles 90.00, 90.00, 90.00 degrees
Sites, in units of the cell vectors:
Re  0.0000  0.0180  0.0000
Re  0.0000  0.9820  0.5000
As  0.5000  0.3368  0.8915
As  0.5000  0.6632  0.3915
Pd  0.5000  0.3326  0.5540
Pd  0.5000  0.6674  0.0540
O  0.0000  0.0608  0.2515
O  0.0000  0.9392  0.7515


#ii
Material: ReAsPdO
Method: DFT, GGA-PBE
State: relaxed

Output
- V (Å³ per atom) = 13.922

Cell lengths 3.5255, 3.5255, 8.9607 Å; angles 90.00, 90.00, 90.00 degrees
Sites, in units of the cell vectors:
Re  0.2500  0.2500  0.1369
Re  0.7500  0.7500  0.8631
As  0.2500  0.2500  0.7204
As  0.7500  0.7500  0.2796
Pd  0.2500  0.7500  0.5000
Pd  0.7500  0.2500  0.5000
O  0.2500  0.7500  0.0000
O  0.7500  0.2500  0.0000


The structure with the least stability is #ii.


#i
Material: ScAsPdO
Method: DFT, GGA-PBE
State: relaxed

Output
- V (Å³ per atom) = 16.359

Cell lengths 5.2994, 5.2994, 4.6602 Å; angles 90.00, 90.00, 90.00 degrees
Sites, in units of the cell vectors:
Sc  0.2500  0.7500  0.0000
Sc  0.7500  0.2500  0.0000
As  0.2500  0.2500  0.0055
As  0.7500  0.7500  0.9945
Pd  0.2500  0.2500  0.5052
Pd  0.7500  0.7500  0.4948
O  0.2500  0.7500  0.5000
O  0.7500  0.2500  0.5000


#ii
Material: ScAsPdO
Method: DFT, GGA-PBE
State: relaxed

Output
- V (Å³ per atom) = 15.388

Cell lengths 3.9561, 3.9561, 7.8656 Å; angles 90.00, 90.00, 90.00 degrees
Sites, in units of the cell vectors:
Sc  0.2500  0.2500  0.1101
Sc  0.7500  0.7500  0.8899
As  0.2500  0.2500  0.6930
As  0.7500  0.7500  0.3070
Pd  0.2500  0.7500  0.5000
Pd  0.7500  0.2500  0.5000
O  0.2500  0.7500  0.0000
O  0.7500  0.2500  0.0000


The structure with the least stability is #i.


#i
Material: ScAsPdO
Method: DFT, GGA-PBE
State: relaxed

Output
- V (Å³ per atom) = 16.123

Cell lengths 5.3562, 5.1307, 4.6937 Å; angles 90.00, 90.00, 90.00 degrees
Sites, in units of the cell vectors:
Sc  0.0000  0.2055  0.0000
Sc  0.0000  0.7945  0.5000
As  0.5000  0.3390  0.8679
As  0.5000  0.6610  0.3679
Pd  0.5000  0.1565  0.3643
Pd  0.5000  0.8435  0.8643
O  0.0000  0.1717  0.4315
O  0.0000  0.8283  0.9315


#ii
Material: ScAsPdO
Method: DFT, GGA-PBE
State: relaxed

Output
- V (Å³ per atom) = 17.289

Cell lengths 3.3532, 7.6564, 5.3874 Å; angles 90.00, 90.00, 90.00 degrees
Sites, in units of the cell vectors:
Sc  0.0000  0.2118  0.0000
Sc  0.0000  0.7882  0.5000
As  0.0000  0.4303  0.5077
As  0.0000  0.5697  0.0077
Pd  0.5000  0.2044  0.5179
Pd  0.5000  0.7956  0.0179
O  0.5000  0.0902  0.0616
O  0.5000  0.9098  0.5616


The structure with the least stability is #ii.


#i
Material: SnAsPdO
Method: DFT, GGA-PBE
State: relaxed

Output
- V (Å³ per atom) = 19.209

Cell lengths 3.9604, 3.9604, 9.7976 Å; angles 90.00, 90.00, 90.00 degrees
Sites, in units of the cell vectors:
Sn  0.2500  0.2500  0.1155
Sn  0.7500  0.7500  0.8845
As  0.2500  0.2500  0.6541
As  0.7500  0.7500  0.3459
Pd  0.2500  0.7500  0.5000
Pd  0.7500  0.2500  0.5000
O  0.2500  0.7500  0.0000
O  0.7500  0.2500  0.0000


#ii
Material: SnAsPdO
Method: DFT, GGA-PBE
State: relaxed

Output
- V (Å³ per atom) = 19.935

Cell lengths 3.4605, 6.7713, 6.8061 Å; angles 90.00, 90.00, 90.00 degrees
Sites, in units of the cell vectors:
Sn  0.0000  0.1776  0.0000
Sn  0.0000  0.8224  0.5000
As  0.0000  0.2050  0.3999
As  0.0000  0.7950  0.8999
Pd  0.5000  0.3135  0.6118
Pd  0.5000  0.6865  0.1118
O  0.5000  0.3429  0.9486
O  0.5000  0.6571  0.4486


The structure with the least stability is #ii.